Ta2AgPb3O9 after structural relaxation. Source: the Alexandria database, functional PBE.

Lattice parameters (Å, degrees): 5.8726 5.8726 7.2142 90.00 90.00 120.00
With the nearest neighbours (Å) after each atom.
Space group P-3m1 (No. 164)
Unique sites:
Ta (0.3333, 0.6667, 0.1601) (multiplicity 2)  6 O 1.95-2.05
Ag (0.0000, 0.0000, 0.5000) (multiplicity 1)  6 O 2.23
Pb (0.0000, 0.0000, 0.0000) (multiplicity 1)  12 O 2.92-2.94
Pb (0.3333, 0.6667, 0.6255) (multiplicity 2)  9 O 2.73-2.97
O (0.0000, 0.5000, 0.0000) (multiplicity 3)  2 Ta 2.05
O (0.1775, 0.3549, 0.3178) (multiplicity 6)  1 Ta 1.95

Computed properties:
Crystal system: trigonal
Total magnetization in μB per cell: 1.05
Formation energy from raw total energies in eV per atom: -1.69
Theoretical density in g/cm3: 9.5



Th2BeSi3Ni12 after structural relaxation. Source: the Alexandria database, functional PBE.

Lattice parameters (Å, degrees): 6.3004 6.3004 22.1605 90.00 90.00 120.00
With the nearest neighbours (Å) after each atom.
Space group R-3m (No. 166, hexagonal axes)
Unique sites:
Th (0.0000, 0.0000, 0.1558) (multiplicity 6)  6 Ni 2.71-2.83
Be (0.0000, 0.0000, 0.5000) (multiplicity 3)  6 Ni 2.06
Si (0.0000, 0.5000, 0.0000) (multiplicity 9)  6 Ni 2.27-2.30
Ni (0.0591, 0.5296, 0.1028) (multiplicity 18)  1 Be 2.06, 1 Si 2.30
Ni (0.0670, 0.5335, 0.6204) (multiplicity 18)  2 Si 2.27, 6 Ni 2.50-2.52

Computed properties:
Crystal system: trigonal
Total magnetization in μB per cell: 0.00
Formation energy from raw total energies in eV per atom: -0.19
Theoretical density in g/cm3: 8.3



TbPmZnHg after structural relaxation. Source: the Alexandria database, functional PBE.

Lattice parameters (Å, degrees): 7.4177 7.4177 7.4177 90.00 90.00 90.00
With the nearest neighbours (Å) after each atom.
Space group F-43m (No. 216)
Unique sites:
Tb (0.0000, 0.0000, 0.0000) (multiplicity 4)  4 Zn 3.21, 4 Hg 3.21
Pm (0.0000, 0.0000, 0.5000) (multiplicity 4)  4 Hg 3.21, 4 Zn 3.21
Zn (0.2500, 0.2500, 0.7500) (multiplicity 4)  4 Pm 3.21, 4 Tb 3.21
Hg (0.2500, 0.2500, 0.2500) (multiplicity 4)  4 Tb 3.21, 4 Pm 3.21

Computed properties:
Crystal system: cubic
Total magnetization in μB per cell: 3.08
Energy relative to the elements in meV/atom: -381
Distance to the lowest polymorph of the same formula in meV/atom: 25
Theoretical density in g/cm3: 9.3